## a
Compound: GaTeH3
Source: Alexandria
Functional: PBE
Structure: optimized geometry

a = 4.1641 Å, b = 4.1641 Å, c = 4.1641 Å
α = 90.00°, β = 90.00°, γ = 90.00°
Space group Pm-3m (No. 221)
One atom of each set of equivalent atoms:
Ga (0.0000, 0.0000, 0.0000)
Te (0.5000, 0.5000, 0.5000)
H (0.0000, 0.5000, 0.5000)

- Magnetization: 0.00 μB/f.u.
- Crystal system: cubic

## b
Compound: GaTeH3
Source: Alexandria
Functional: PBE
Structure: optimized geometry

a = 3.8510 Å, b = 3.8510 Å, c = 3.8510 Å
α = 90.00°, β = 90.00°, γ = 90.00°
Space group Pm-3m (No. 221)
One atom of each set of equivalent atoms:
Ga (0.0000, 0.0000, 0.0000)
Te (0.5000, 0.5000, 0.5000)
H (0.0000, 0.0000, 0.5000)

- Magnetization: 0.00 μB/f.u.
- Crystal system: cubic

a takes first place; second place is 47 meV/atom up.

## a
Compound: Ti2GaH2
Source: Alexandria
Functional: PBE
Structure: optimized geometry

a = 6.2585 Å, b = 6.2585 Å, c = 2.7114 Å
α = 90.00°, β = 90.00°, γ = 90.00°
Space group P4/mbm (No. 127)
One atom of each set of equivalent atoms:
Ti (0.1540, 0.3460, 0.0000)
Ga (0.0000, 0.0000, 0.5000)
H (0.1099, 0.6099, 0.5000)

- Magnetization: 0.00 μB/f.u.
- Crystal system: tetragonal

## b
Compound: Ti2GaH2
Source: Alexandria
Functional: PBE
Structure: optimized geometry

a = 5.0910 Å, b = 8.5005 Å, c = 5.5401 Å
α = 90.00°, β = 117.30°, γ = 90.00°
Space group C2/c (No. 15)
One atom of each set of equivalent atoms:
Ti (0.0000, 0.0437, 0.2500)
Ti (0.0000, 0.2924, 0.7500)
Ga (0.0000, 0.3754, 0.2500)
H (0.1258, 0.1245, 0.9997)

- Magnetization: 0.00 μB/f.u.
- Crystal system: monoclinic

## c
Compound: Ti2GaH2
Source: Alexandria
Functional: PBE
Structure: optimized geometry

a = 2.9327 Å, b = 2.9327 Å, c = 12.2855 Å
α = 90.00°, β = 90.00°, γ = 90.00°
Space group I4/mmm (No. 139)
One atom of each set of equivalent atoms:
Ti (0.0000, 0.0000, 0.1490)
Ga (0.0000, 0.0000, 0.5000)
H (0.0000, 0.5000, 0.2500)

- Magnetization: 0.00 μB/f.u.
- Crystal system: tetragonal

## d
Compound: Ti2GaH2
Source: Alexandria
Functional: PBE
Structure: optimized geometry

a = 3.7946 Å, b = 3.7946 Å, c = 8.1519 Å
α = 90.00°, β = 90.00°, γ = 90.00°
Space group I4/mmm (No. 139)
One atom of each set of equivalent atoms:
Ti (0.0000, 0.5000, 0.2500)
Ga (0.0000, 0.0000, 0.0000)
H (0.0000, 0.0000, 0.3348)

- Magnetization: 0.00 μB/f.u.
- Crystal system: tetragonal

c takes first place; second place is 41 meV/atom up.

## a
Compound: Ti5Ga2H2
Source: Alexandria
Functional: PBE
Structure: optimized geometry

a = 9.5858 Å, b = 3.7670 Å, c = 6.5665 Å
α = 90.00°, β = 95.30°, γ = 90.00°
Space group C2/m (No. 12)
One atom of each set of equivalent atoms:
Ti (0.0000, 0.0000, 0.0000)
Ti (0.1415, 0.0000, 0.4318)
Ti (0.2211, 0.5000, 0.1496)
Ga (0.0665, 0.5000, 0.7187)
H (0.1806, 0.0000, 0.1255)

- Magnetization: 0.00 μB/f.u.
- Crystal system: monoclinic

## b
Compound: Ti5Ga2H2
Source: Alexandria
Functional: PBE
Structure: optimized geometry

a = 13.6401 Å, b = 6.8165 Å, c = 5.4469 Å
α = 90.00°, β = 90.00°, γ = 90.00°
Space group Ima2 (No. 46)
One atom of each set of equivalent atoms:
Ti (0.0415, 0.2499, 0.0000)
Ti (0.1452, 0.5530, 0.2501)
Ti (0.2500, 0.1778, 0.2449)
Ga (0.1016, 0.5684, 0.7489)
H (0.0000, 0.0000, 0.7519)
H (0.2500, 0.0751, 0.5861)

- Magnetization: 0.11 μB/f.u.
- Crystal system: orthorhombic

a takes first place; second place is 154 meV/atom up.

## a
Compound: Ti3GaH3
Source: Alexandria
Functional: PBE
Structure: optimized geometry

a = 5.2746 Å, b = 5.2746 Å, c = 5.2746 Å
α = 90.00°, β = 90.00°, γ = 90.00°
Space group Pm-3n (No. 223)
One atom of each set of equivalent atoms:
Ti (0.0000, 0.2500, 0.5000)
Ga (0.0000, 0.0000, 0.0000)
H (0.0000, 0.5000, 0.2500)

- Magnetization: 0.63 μB/f.u.
- Crystal system: cubic

## b
Compound: Ti3GaH3
Source: Alexandria
Functional: PBE
Structure: optimized geometry

a = 5.2460 Å, b = 5.2460 Å, c = 19.9804 Å
α = 90.00°, β = 90.00°, γ = 120.00°
Space group R-3 (No. 148, hexagonal axes)
One atom of each set of equivalent atoms:
Ti (0.0010, 0.3291, 0.4001)
Ga (0.0000, 0.0000, 0.1665)
H (0.0007, 0.3385, 0.6366)

- Magnetization: 0.00 μB/f.u.
- Crystal system: trigonal

a takes first place; second place is 158 meV/atom up.

## a
Compound: TiGaH3
Source: Alexandria
Functional: PBE
Structure: optimized geometry

a = 3.5200 Å, b = 3.5200 Å, c = 3.5200 Å
α = 90.00°, β = 90.00°, γ = 90.00°
Space group Pm-3m (No. 221)
One atom of each set of equivalent atoms:
Ti (0.0000, 0.0000, 0.0000)
Ga (0.5000, 0.5000, 0.5000)
H (0.0000, 0.5000, 0.5000)

- Magnetization: 0.00 μB/f.u.
- Crystal system: cubic

## b
Compound: TiGaH3
Source: Alexandria
Functional: PBE
Structure: optimized geometry

a = 3.5878 Å, b = 3.5878 Å, c = 3.5878 Å
α = 90.00°, β = 90.00°, γ = 90.00°
Space group Pm-3m (No. 221)
One atom of each set of equivalent atoms:
Ti (0.0000, 0.0000, 0.0000)
Ga (0.5000, 0.5000, 0.5000)
H (0.0000, 0.0000, 0.5000)

- Magnetization: 0.00 μB/f.u.
- Crystal system: cubic

b takes first place; second place is 458 meV/atom up.

## a
Compound: Ti4Ga2H
Source: Alexandria
Functional: PBE
Structure: optimized geometry

a = 3.7649 Å, b = 3.7649 Å, c = 14.4957 Å
α = 90.00°, β = 90.00°, γ = 90.00°
Space group I4/mmm (No. 139)
One atom of each set of equivalent atoms:
Ti (0.0000, 0.0000, 0.1786)
Ti (0.0000, 0.5000, 0.0000)
Ga (0.0000, 0.0000, 0.3619)
H (0.0000, 0.0000, 0.0000)

- Magnetization: 0.00 μB/f.u.
- Crystal system: tetragonal

## b
Compound: Ti4Ga2H
Source: Alexandria
Functional: PBE
Structure: optimized geometry

a = 4.8891 Å, b = 5.5101 Å, c = 7.6020 Å
α = 90.00°, β = 98.78°, γ = 90.00°
Space group P2_1/m (No. 11)
One atom of each set of equivalent atoms:
Ti (0.1675, 0.2500, 0.0697)
Ti (0.2168, 0.7500, 0.3682)
Ti (0.2987, 0.5120, 0.7240)
Ga (0.2334, 0.2500, 0.4140)
Ga (0.3477, 0.7500, 0.0418)
H (0.1010, 0.2500, 0.8103)

- Magnetization: 0.55 μB/f.u.
- Crystal system: monoclinic

b takes first place; second place is 26 meV/atom up.

## a
Compound: TiGaH2
Source: Alexandria
Functional: PBE
Structure: optimized geometry

a = 4.0921 Å, b = 4.0921 Å, c = 9.8602 Å
α = 90.00°, β = 90.00°, γ = 90.00°
Space group I-42d (No. 122)
One atom of each set of equivalent atoms:
Ti (0.0000, 0.0000, 0.0000)
Ga (0.0000, 0.0000, 0.5000)
H (0.1849, 0.2500, 0.1250)

- Magnetization: 0.00 μB/f.u.
- Crystal system: tetragonal

## b
Compound: TiGaH2
Source: Alexandria
Functional: PBE
Structure: optimized geometry

a = 5.2924 Å, b = 5.2924 Å, c = 5.2924 Å
α = 90.00°, β = 90.00°, γ = 90.00°
Space group Fm-3m (No. 225)
One atom of each set of equivalent atoms:
Ti (0.0000, 0.0000, 0.0000)
Ga (0.0000, 0.0000, 0.5000)
H (0.2500, 0.2500, 0.2500)

- Magnetization: 0.00 μB/f.u.
- Crystal system: cubic

a takes first place; second place is 230 meV/atom up.

## a
Compound: TiV2GaH
Source: Alexandria
Functional: PBE
Structure: optimized geometry

a = 3.7199 Å, b = 3.7199 Å, c = 4.3908 Å
α = 90.00°, β = 90.00°, γ = 90.00°
Space group P4/mmm (No. 123)
One atom of each set of equivalent atoms:
Ti (0.0000, 0.0000, 0.0000)
V (0.0000, 0.5000, 0.5000)
Ga (0.5000, 0.5000, 0.0000)
H (0.5000, 0.5000, 0.5000)

- Magnetization: 0.00 μB/f.u.
- Crystal system: tetragonal

## b
Compound: TiV2GaH
Source: Alexandria
Functional: PBE
Structure: optimized geometry

a = 3.7668 Å, b = 3.7668 Å, c = 4.2064 Å
α = 90.00°, β = 90.00°, γ = 90.00°
Space group P4/mmm (No. 123)
One atom of each set of equivalent atoms:
Ti (0.0000, 0.0000, 0.0000)
V (0.0000, 0.5000, 0.5000)
Ga (0.5000, 0.5000, 0.0000)
H (0.0000, 0.0000, 0.5000)

- Magnetization: 0.00 μB/f.u.
- Crystal system: tetragonal

b takes first place; second place is 126 meV/atom up.

## a
Compound: Tm3GaH
Source: Alexandria
Functional: PBE
Structure: optimized geometry

a = 4.6674 Å, b = 4.6674 Å, c = 4.6674 Å
α = 90.00°, β = 90.00°, γ = 90.00°
Space group Pm-3m (No. 221)
One atom of each set of equivalent atoms:
Tm (0.0000, 0.0000, 0.5000)
Ga (0.5000, 0.5000, 0.5000)
H (0.0000, 0.0000, 0.0000)

- Magnetization: 1.31 μB/f.u.
- Crystal system: cubic

## b
Compound: Tm3GaH
Source: Alexandria
Functional: PBE
Structure: optimized geometry

a = 7.3171 Å, b = 3.4921 Å, c = 8.4356 Å
α = 90.00°, β = 91.58°, γ = 90.00°
Space group P2_1/m (No. 11)
One atom of each set of equivalent atoms:
Tm (0.0702, 0.2500, 0.3344)
Tm (0.2487, 0.2500, 0.9548)
Tm (0.3570, 0.7500, 0.6116)
Ga (0.3822, 0.7500, 0.2272)
H (0.1234, 0.2500, 0.5979)

- Magnetization: 0.00 μB/f.u.
- Crystal system: monoclinic

b takes first place; second place is 19 meV/atom up.

## a
Compound: TmGaH
Source: Alexandria
Functional: PBE
Structure: optimized geometry

a = 8.1000 Å, b = 4.5458 Å, c = 5.7561 Å
α = 90.00°, β = 90.00°, γ = 90.00°
Space group Pnma (No. 62)
One atom of each set of equivalent atoms:
Tm (0.1542, 0.2500, 0.0621)
Ga (0.0000, 0.0000, 0.5000)
H (0.1047, 0.7500, 0.0003)

- Magnetization: 0.00 μB/f.u.
- Crystal system: orthorhombic

## b
Compound: TmGaH
Source: Alexandria
Functional: PBE
Structure: optimized geometry

a = 3.5412 Å, b = 3.5412 Å, c = 4.7646 Å
α = 90.00°, β = 90.00°, γ = 120.00°
Space group P3m1 (No. 156)
One atom of each set of equivalent atoms:
Tm (0.0000, 0.0000, 0.0000)
Ga (0.6667, 0.3333, 0.5001)
H (0.3333, 0.6667, 0.0023)

- Magnetization: 0.00 μB/f.u.
- Crystal system: trigonal

## c
Compound: TmGaH
Source: Alexandria
Functional: PBE
Structure: optimized geometry

a = 3.0676 Å, b = 3.0676 Å, c = 10.7567 Å
α = 90.00°, β = 90.00°, γ = 90.00°
Space group I4mm (No. 107)
One atom of each set of equivalent atoms:
Tm (0.0000, 0.0000, 0.0000)
Ga (0.0000, 0.0000, 0.2791)
H (0.0000, 0.0000, 0.5475)

- Magnetization: 0.00 μB/f.u.
- Crystal system: tetragonal

b takes first place; second place is 178 meV/atom up.